VASP calculation (PBE with a Hubbard U) on a geometry-optimized Pr3WCl3O6 structure.

abc: 9.431 9.431 5.444
angles: 90.00 90.00 120.00
Fractional coordinates of all 26 atoms:
Pr1 0.090 0.404 0.250
Pr2 0.314 0.910 0.250
Pr3 0.404 0.314 0.750
Pr4 0.596 0.686 0.250
Pr5 0.686 0.090 0.750
Pr6 0.910 0.596 0.750
W1 0.333 0.667 0.750
W2 0.667 0.333 0.250
Cl1 0.048 0.241 0.750
Cl2 0.193 0.952 0.750
Cl3 0.241 0.193 0.250
Cl4 0.759 0.807 0.750
Cl5 0.807 0.048 0.250
Cl6 0.952 0.759 0.250
O1 0.160 0.636 0.519
O2 0.160 0.636 0.981
O3 0.364 0.524 0.519
O4 0.364 0.524 0.981
O5 0.476 0.840 0.519
O6 0.476 0.840 0.981
O7 0.524 0.160 0.019
O8 0.524 0.160 0.481
O9 0.636 0.476 0.019
O10 0.636 0.476 0.481
O11 0.840 0.364 0.019
O12 0.840 0.364 0.481

Computed properties:
space-group type = P6_3/m, No. 176
total energy = -185.1 eV for the cell shown
M_tot = 0.000 μB/atom